Entry 1:
Density functional theory data (PBE-GGA) for a relaxed structure of AcMg2ZnIn4.

For the mass density, the calculation gives 6.38 g cm⁻³. Its crystal system is trigonal. The value obtained for the spin magnetization is 0.0 μB per formula unit. Its density of states at the Fermi level is 0.479 states/eV per atom. The value obtained for the total energy is -2.621 eV/atom.

It has space group R-3m (No. 166, hexagonal axes), with a = 5.0745 Å, b = 5.0745 Å, c = 28.0299 Å, α = 90.00°, β = 90.00° and γ = 120.00°. Symmetry generates all atoms from Ac at (0.0000, 0.0000, 0.0000), Mg at (0.0000, 0.0000, 0.2461), Zn at (0.0000, 0.0000, 0.5000), In at (0.0000, 0.0000, 0.1316) and In at (0.0000, 0.0000, 0.3991).

***

Entry 2:
Density functional theory data (PBE-GGA) for a relaxed structure of Zr2Sc2Ir.

For the mass density, the calculation gives 7.16 g cm⁻³. Its crystal system is orthorhombic. The value obtained for the spin magnetization is 0.0 μB per formula unit. Its density of states at the Fermi level is 0.587 states/eV per atom. The value obtained for the total energy is -8.088 eV/atom.

It has space group Fmmm (No. 69), with a = 6.0554 Å, b = 9.2282 Å, c = 15.4271 Å, α = 90.00°, β = 90.00° and γ = 90.00°. Symmetry generates all atoms from Zr at (0.0000, 0.0000, 0.1978), Zr at (0.2095, 0.0000, 0.0000), Sc at (0.0000, 0.1976, 0.3930) and Ir at (0.2500, 0.2500, 0.2500).

***

Q: spin magnetization of number 1 (AcMg2ZnIn4)?
A: 0.0 μB per formula unit

***

Q: What is the formula in the first record?
A: AcMg2ZnIn4